(w)
A plane-wave DFT calculation with PBE-GGA was carried out for TbFeRu after structural relaxation.

a b c (Å): 3.9526 3.9526 4.2483
angles (deg): 90.00 90.00 120.00
Last column: nearest neighbours and their distance in Å.
Atoms (fractional coordinates):
Tb 0.0000 0.0000 0.0000  6 Ru 3.12, 6 Fe 3.12
Fe 0.3333 0.6667 0.5000  3 Ru 2.28
Ru 0.6667 0.3333 0.5000  3 Fe 2.28

(x)
A plane-wave DFT calculation with PBE-GGA was carried out for TbFeRu after structural relaxation.

a b c (Å): 13.4035 13.4035 13.4035
angles (deg): 22.61 22.61 22.61
Last column: nearest neighbours and their distance in Å.
Atoms (fractional coordinates):
Tb 0.0412 0.0412 0.0412  9 Ru 3.08-3.11, 3 Fe 3.15, 4 Tb 3.23
Tb 0.1802 0.1802 0.1802  9 Fe 3.06-3.08, 3 Ru 3.08, 4 Tb 3.21-3.28
Tb 0.2639 0.2639 0.2639  6 Ru 3.06-3.12, 6 Fe 3.11, 4 Tb 3.23-3.28
Tb 0.7361 0.7361 0.7361  6 Ru 3.06-3.12, 6 Fe 3.11, 4 Tb 3.23-3.28
Tb 0.8198 0.8198 0.8198  9 Fe 3.06-3.08, 3 Ru 3.08, 4 Tb 3.21-3.28
Tb 0.9588 0.9588 0.9588  9 Ru 3.08-3.11, 3 Fe 3.15, 4 Tb 3.23
Fe 0.2159 0.7241 0.7241  4 Fe 2.58-2.67, 2 Ru 2.60-2.64
Fe 0.2759 0.2759 0.7841  4 Fe 2.58-2.67, 2 Ru 2.60-2.64
Fe 0.2759 0.7841 0.2759  4 Fe 2.58-2.67, 2 Ru 2.60-2.64
Fe 0.7241 0.2159 0.7241  4 Fe 2.58-2.67, 2 Ru 2.60-2.64
Fe 0.7241 0.7241 0.2159  4 Fe 2.58-2.67, 2 Ru 2.60-2.64
Fe 0.7841 0.2759 0.2759  4 Fe 2.58-2.67, 2 Ru 2.60-2.64
Ru 0.0000 0.5000 0.5000  6 Ru 2.63-2.74
Ru 0.3917 0.3917 0.3917  3 Fe 2.60, 3 Ru 2.74
Ru 0.5000 0.0000 0.5000  6 Ru 2.63-2.74
Ru 0.5000 0.5000 0.0000  6 Ru 2.63-2.74
Ru 0.5000 0.5000 0.5000  6 Fe 2.64
Ru 0.6083 0.6083 0.6083  3 Fe 2.60, 3 Ru 2.74

(y)
A plane-wave DFT calculation with PBE-GGA was carried out for TbFeRu after structural relaxation.

a b c (Å): 5.2593 5.2593 5.2593
angles (deg): 121.10 118.30 90.54
Last column: nearest neighbours and their distance in Å.
Atoms (fractional coordinates):
Tb 0.3756 0.1256 0.2500  6 Ru 3.06-3.08, 6 Fe 3.07-3.13, 4 Tb 3.17-3.28
Tb 0.6244 0.8744 0.7500  6 Ru 3.06-3.08, 6 Fe 3.07-3.13, 4 Tb 3.17-3.28
Fe 0.0000 0.0000 0.5000  2 Fe 2.59, 4 Ru 2.63
Fe 0.0000 0.5000 0.0000  2 Fe 2.59, 4 Ru 2.63
Ru 0.0000 0.5000 0.5000  4 Fe 2.63, 2 Ru 2.70
Ru 0.5000 0.5000 0.0000  4 Fe 2.63, 2 Ru 2.70

Quick one: most stable of them? (y)